1.
{"formula": "Ti3VH3", "functional": "PBE", "state": "optimized geometry", "lattice": [[-4.594, 2.109, -1.900], [-0.605, -3.063, 4.407], [2.631, 4.730, 2.215]], "species": ["Ti", "Ti", "Ti", "Ti", "Ti", "Ti", "V", "V", "H", "H", "H", "H", "H", "H"], "frac_coords": [[0.747, 0.747, 0.283], [0.265, 0.735, 0.500], [0.735, 0.265, 0.500], [0.235, 0.765, 0.000], [0.765, 0.235, 0.000], [0.253, 0.253, 0.717], [0.748, 0.748, 0.745], [0.252, 0.252, 0.255], [0.920, 0.920, 0.081], [0.855, 0.494, 0.824], [0.494, 0.855, 0.824], [0.145, 0.506, 0.176], [0.506, 0.145, 0.176], [0.080, 0.080, 0.919]], "space_group": "No. 12", "e_tot_ev_per_cell": -88.291}

2.
{"formula": "PaFe2Si", "functional": "PBE", "state": "optimized geometry", "lattice": [[-3.239, -2.555, -0.764], [0.686, -3.897, -1.397], [-0.691, -3.520, 3.179]], "species": ["Si", "Pa", "Fe", "Fe"], "frac_coords": [[0.500, 0.500, 0.500], [0.000, 0.000, 0.000], [0.811, 0.811, 0.566], [0.189, 0.189, 0.434]], "space_group": "No. 166", "formation_energy_uncorrected_ev_per_atom": -0.4198}